A relaxed Na2SrMnRu crystal, computed with PBE.

```
Na2SrMnRu
1.0
5.381 0.000 0.000
0.000 5.070 0.000
0.000 0.000 5.381
Na Ru Sr Mn
2 1 1 1
direct
0.500 0.000 0.000 Na
0.000 0.000 0.500 Na
0.500 0.500 0.500 Ru
0.000 0.000 0.000 Sr
0.000 0.500 0.000 Mn
```

Output
DFT formation energy   1940 meV per atom
DFT total energy   -13.064 eV for the cell shown
Volume   146.8 Å³/f.u.

***

A relaxed Dy4Al3Hg crystal, computed with PBE.

```
Dy4Al3Hg
1.0
3.729 0.000 0.000
0.000 4.548 0.000
0.000 0.000 11.718
Dy Al Hg
4 3 1
direct
0.000 0.500 0.842 Dy
0.000 0.000 0.155 Dy
0.500 0.500 0.348 Dy
0.500 0.000 0.654 Dy
0.500 0.000 0.927 Al
0.000 0.000 0.432 Al
0.000 0.500 0.568 Al
0.500 0.500 0.073 Hg
```

Output
DFT formation energy   -391 meV per atom
DFT total energy   -33.068 eV for the cell shown
Volume   198.8 Å³/f.u.
Energy above the most stable polymorph in this dataset   0.206 eV/f.u.

***

A relaxed MgPd6Au8 crystal, computed with PBE.

```
MgPd6Au8
1.0
-6.777 1.952 1.413
-5.399 -4.583 -1.258
-3.542 -2.955 5.402
Au Mg Pd
8 1 6
direct
0.583 0.583 0.250 Au
0.181 0.338 0.602 Au
0.417 0.417 0.750 Au
0.121 0.819 0.398 Au
0.662 0.121 0.398 Au
0.338 0.879 0.602 Au
0.879 0.181 0.602 Au
0.819 0.662 0.398 Au
0.000 0.000 0.000 Mg
0.551 0.057 0.119 Pd
0.273 0.551 0.119 Pd
0.057 0.273 0.119 Pd
0.943 0.727 0.881 Pd
0.449 0.943 0.881 Pd
0.727 0.449 0.881 Pd
```

Output
DFT formation energy   -122 meV per atom
DFT total energy   -60.801 eV for the cell shown
Volume   258.2 Å³/f.u.
Energy above the most stable polymorph in this dataset   0.000 eV/f.u.

***

A relaxed Hf12Sb6As crystal, computed with PBE.

```
Hf12Sb6As
1.0
-5.265 2.309 5.303
-1.912 -7.569 -0.469
6.285 -0.566 4.620
Hf Sb As
12 6 1
direct
0.515 0.206 0.415 Hf
0.794 0.585 0.485 Hf
0.338 0.082 0.030 Hf
0.206 0.415 0.515 Hf
0.485 0.794 0.585 Hf
0.415 0.515 0.206 Hf
0.030 0.338 0.082 Hf
0.970 0.662 0.918 Hf
0.662 0.918 0.970 Hf
0.918 0.970 0.662 Hf
0.585 0.485 0.794 Hf
0.082 0.030 0.338 Hf
0.319 0.114 0.677 Sb
0.886 0.323 0.681 Sb
0.323 0.681 0.886 Sb
0.114 0.677 0.319 Sb
0.681 0.886 0.323 Sb
0.677 0.319 0.114 Sb
0.000 0.000 0.000 As
```

Output
E_form (uncorrected)   -206 meV per atom
DFT total energy   -152.743 eV for the cell shown
Volume   457.1 Å³/f.u.

***

A relaxed TcPbW4 crystal, computed with PBE.

```
TcPbW4
1.0
0.000 3.769 3.769
3.769 0.000 3.769
3.769 3.769 0.000
W Pb Tc
4 1 1
direct
0.376 0.376 0.872 W
0.376 0.376 0.376 W
0.872 0.376 0.376 W
0.376 0.872 0.376 W
0.750 0.750 0.750 Pb
0.000 0.000 0.000 Tc
```

Output
DFT formation energy   742 meV per atom
DFT total energy   -61.438 eV for the cell shown
Volume   107.1 Å³/f.u.

***

A relaxed Mn2PSe crystal, computed with PBE.

```
Mn2PSe
1.0
3.594 -0.004 0.013
1.790 3.117 0.013
1.779 1.029 5.859
Se P Mn
1 1 2
direct
0.250 0.250 0.250 Se
0.750 0.750 0.750 P
0.012 0.012 0.965 Mn
0.488 0.488 0.535 Mn
```

Output
E_form (uncorrected)   -269 meV per atom
DFT total energy   -28.311 eV for the cell shown
Volume   65.6 Å³/f.u.
Energy above the most stable polymorph in this dataset   0.000 eV/f.u.

***

Please write out number 5 again, unchanged.
A relaxed TcPbW4 crystal, computed with PBE.

```
TcPbW4
1.0
0.000 3.769 3.769
3.769 0.000 3.769
3.769 3.769 0.000
W Pb Tc
4 1 1
direct
0.376 0.376 0.872 W
0.376 0.376 0.376 W
0.872 0.376 0.376 W
0.376 0.872 0.376 W
0.750 0.750 0.750 Pb
0.000 0.000 0.000 Tc
```

Output
DFT formation energy   742 meV per atom
DFT total energy   -61.438 eV for the cell shown
Volume   107.1 Å³/f.u.